## ThAl3 (PBEsol)

Data for a relaxed ThAl3 crystal.

Energy relative to the elements ... -0.383 eV per atom
DOS(E_F) ... 4.28 states/eV/cell
Magnetic moment ... 0.0 μB/f.u.

```
ThAl3
1.0
6.465 0.000 0.000
-3.233 5.599 0.000
0.000 0.000 4.592
Th Al
2 6
Direct
0.333 0.667 0.250
0.667 0.333 0.750
0.142 0.284 0.750
0.142 0.858 0.750
0.284 0.142 0.250
0.716 0.858 0.750
0.858 0.142 0.250
0.858 0.716 0.250
```